This record from the Open Quantum Materials Database describes crystalline Pr3MgIn2Ir2Au at its relaxed geometry. The functional is PBE.

Lattice parameters (Å, degrees): 4.160 7.679 7.679 120.31 90.00 90.00
Sites, in units of the cell vectors:
Au: 0.000 0.014 0.014
In: 0.500 0.998 0.744
In: 0.500 0.744 0.998
Ir: 0.500 0.664 0.331
Ir: 0.500 0.331 0.664
Mg: 0.500 0.254 0.254
Pr: 0.000 0.995 0.414
Pr: 0.000 0.585 0.585
Pr: 0.000 0.414 0.995

Calculated values
**SG**: Amm2

This record from the Open Quantum Materials Database describes crystalline Na2In4IrAu at its relaxed geometry. The functional is PBE.

Lattice parameters (Å, degrees): 8.060 5.747 5.747 44.08 90.00 90.00
Sites, in units of the cell vectors:
Au: 0.000 0.284 0.284
In: 0.308 0.140 0.140
In: 0.692 0.140 0.140
In: 0.214 0.858 0.858
In: 0.786 0.858 0.858
Ir: 0.500 0.717 0.717
Na: 0.500 0.434 0.434
Na: 0.000 0.568 0.568

Calculated values
**SG**: Amm2

This record from the Open Quantum Materials Database describes crystalline InIrAu3O4 at its relaxed geometry. The functional is PBE.

Lattice parameters (Å, degrees): 5.298 5.298 5.298 90.00 90.00 90.00
Sites, in units of the cell vectors:
Au: 0.500 0.500 0.000
Au: 0.500 0.000 0.500
Au: 0.000 0.500 0.500
In: 0.000 0.000 0.000
Ir: 0.500 0.500 0.500
O: 0.226 0.226 0.226
O: 0.774 0.774 0.226
O: 0.774 0.226 0.774
O: 0.226 0.774 0.774

Calculated values
**SG**: P-43m

This record from the Open Quantum Materials Database describes crystalline InIrAuSe2S at its relaxed geometry. The functional is PBE.

Lattice parameters (Å, degrees): 7.755 7.755 9.545 90.00 90.00 151.60
Sites, in units of the cell vectors:
Au: 0.690 0.310 0.250
Au: 0.310 0.690 0.750
In: 0.329 0.671 0.250
In: 0.671 0.329 0.750
Ir: 0.000 0.000 0.000
Ir: 0.000 0.000 0.500
S: 0.954 0.046 0.250
S: 0.046 0.954 0.750
Se: 0.608 0.392 0.023
Se: 0.608 0.392 0.477
Se: 0.392 0.608 0.523
Se: 0.392 0.608 0.977

Calculated values
**SG**: Cmcm

This record from the Open Quantum Materials Database describes crystalline InTeIrAuS2 at its relaxed geometry. The functional is PBE.

Lattice parameters (Å, degrees): 7.576 7.576 10.273 90.00 90.00 151.97
Sites, in units of the cell vectors:
Au: 0.640 0.360 0.250
Au: 0.360 0.640 0.750
In: 0.287 0.713 0.250
In: 0.713 0.287 0.750
Ir: 0.000 0.000 0.000
Ir: 0.000 0.000 0.500
S: 0.606 0.394 0.021
S: 0.606 0.394 0.479
S: 0.394 0.606 0.521
S: 0.394 0.606 0.979
Te: 0.951 0.049 0.250
Te: 0.049 0.951 0.750

Calculated values
**SG**: Cmcm

This record from the Open Quantum Materials Database describes crystalline InIrAu3Se4 at its relaxed geometry. The functional is PBE.

Lattice parameters (Å, degrees): 6.241 6.241 6.241 90.00 90.00 90.00
Sites, in units of the cell vectors:
Au: 0.500 0.500 0.000
Au: 0.500 0.000 0.500
Au: 0.000 0.500 0.500
In: 0.000 0.000 0.000
Ir: 0.500 0.500 0.500
Se: 0.269 0.269 0.269
Se: 0.731 0.731 0.269
Se: 0.731 0.269 0.731
Se: 0.269 0.731 0.731

Calculated values
**SG**: P-43m

This record from the Open Quantum Materials Database describes crystalline Sm3In3Ir2Au at its relaxed geometry. The functional is PBE.

Lattice parameters (Å, degrees): 7.658 7.658 4.053 90.00 90.00 120.00
Sites, in units of the cell vectors:
Au: 0.000 0.000 0.000
In: 0.263 0.000 0.500
In: 0.000 0.263 0.500
In: 0.737 0.737 0.500
Ir: 0.667 0.333 0.500
Ir: 0.333 0.667 0.500
Sm: 0.588 0.000 0.000
Sm: 0.412 0.412 0.000
Sm: 0.000 0.588 0.000

Calculated values
**SG**: P-62m

This record from the Open Quantum Materials Database describes crystalline Tb3In3Ir2Au at its relaxed geometry. The functional is PBE.

Lattice parameters (Å, degrees): 7.595 7.595 3.985 90.00 90.00 120.00
Sites, in units of the cell vectors:
Au: 0.000 0.000 0.000
In: 0.735 0.000 0.500
In: 0.265 0.265 0.500
In: 0.000 0.735 0.500
Ir: 0.667 0.333 0.500
Ir: 0.333 0.667 0.500
Tb: 0.412 0.000 0.000
Tb: 0.000 0.412 0.000
Tb: 0.588 0.588 0.000

Calculated values
**SG**: P-62m

Listing E for the structures above in their given order: -48.0 -27.4 -37.9 -54.7 -54.7 -33.8 -49.5 -49.4 eV for the cell shown.